(1)
This record from Alexandria describes a relaxed structure of TcHg2Br. The functional is GGA-PBEsol.

Summary:
- SG: P4mm (99)
- Formation energy without anion corrections: 0.38 eV per atom
- Electronic total energy: -12.8 eV/cell
- DOS(E_F): 1.977 states/eV/cell
- Energy above the most stable polymorph in this dataset: 0.000 eV/atom

a = 3.0273 Å, b = 3.0273 Å, c = 8.9996 Å
α = 90.00°, β = 90.00°, γ = 90.00°
With the nearest neighbours (Å) after each atom.
Fractional coordinates of all 4 atoms:
Hg  0.0000  0.0000  0.0110  8 Hg 3.03-3.33
Hg  0.5000  0.5000  0.2938  4 Tc 2.98, 8 Hg 3.03-3.33
Br  0.5000  0.5000  0.6717  4 Tc 2.52
Tc  0.0000  0.0000  0.5235  4 Br 2.52

(2)
This record from Alexandria describes a relaxed structure of HgTeBr4. The functional is GGA-PBEsol.

Summary:
- SG: F-43m (216)
- Formation energy without anion corrections: 0.58 eV per atom
- Electronic total energy: -8.1 eV/cell
- DOS(E_F): 8.347 states/eV/cell

a = 6.0853 Å, b = 6.0853 Å, c = 6.0853 Å
α = 60.00°, β = 60.00°, γ = 60.00°
With the nearest neighbours (Å) after each atom.
Fractional coordinates of all 6 atoms:
Te  0.0000  0.0000  0.0000  12 Br 3.57, 4 Hg 3.73
Hg  0.7500  0.7500  0.7500  12 Br 3.57, 4 Te 3.73
Br  0.3742  0.3742  0.3742  6 Br 3.02-3.06
Br  0.3742  0.3742  0.8775  6 Br 3.02-3.06
Br  0.8775  0.3742  0.3742  6 Br 3.02-3.06
Br  0.3742  0.8775  0.3742  6 Br 3.02-3.06

(3)
This record from Alexandria describes a relaxed structure of HgTe2Br2. The functional is GGA-PBEsol.

Summary:
- SG: I4/mmm (139)
- Formation energy without anion corrections: 0.15 eV per atom
- Electronic total energy: -10.6 eV/cell
- DOS(E_F): 5.232 states/eV/cell

a = 4.0672 Å, b = 4.0672 Å, c = 9.7736 Å
α = 102.01°, β = 102.01°, γ = 90.00°
With the nearest neighbours (Å) after each atom.
Fractional coordinates of all 5 atoms:
Te  0.2500  0.7500  0.5000  4 Te 2.88
Te  0.7500  0.2500  0.5000  4 Te 2.88
Hg  0.0000  0.0000  0.0000  8 Br 3.29
Br  0.4146  0.4146  0.8292  1 Br 3.19, 4 Hg 3.29
Br  0.5854  0.5854  0.1708  1 Br 3.19, 4 Hg 3.29